[1]
{
  "formula": "ScAlSe2",
  "functional": "PBE",
  "state": "relaxed",
  "sg": "P4/mmm",
  "total_energy_ev_per_atom": -5.037,
  "lattice": [[3.436, 0.000, 0.000], [0.000, 3.436, 0.000], [0.000, 0.000, 6.781]],
  "species": ["Sc", "Al", "Se", "Se"],
  "fractional_positions": [[0.000, 0.000, 0.000], [0.000, 0.000, 0.500], [0.500, 0.500, 0.231], [0.500, 0.500, 0.769]]
}

[2]
{
  "formula": "ZrAlTc",
  "functional": "PBE",
  "state": "relaxed",
  "sg": "C2/m",
  "relative_energy_ev_per_fu": 0.39,
  "ef_ev_per_atom": -0.380,
  "lattice": [[5.324, -1.620, 0.000], [5.324, 1.620, 0.000], [-2.134, 0.000, 6.035]],
  "species": ["Zr", "Zr", "Al", "Al", "Tc", "Tc"],
  "fractional_positions": [[0.001, 0.001, 0.256], [0.999, 0.999, 0.744], [0.306, 0.306, 0.375], [0.694, 0.694, 0.625], [0.335, 0.335, 0.932], [0.665, 0.665, 0.068]]
}

[3]
{
  "formula": "Rb2LiCl3",
  "functional": "PBE",
  "state": "relaxed",
  "sg": "Pnma",
  "total_energy_ev_per_atom": -3.460,
  "lattice": [[9.281, 0.000, 0.000], [0.000, 4.441, 0.000], [0.000, 0.000, 17.862]],
  "species": ["Rb", "Rb", "Rb", "Rb", "Rb", "Rb", "Rb", "Rb", "Li", "Li", "Li", "Li", "Cl", "Cl", "Cl", "Cl", "Cl", "Cl", "Cl", "Cl", "Cl", "Cl", "Cl", "Cl"],
  "fractional_positions": [[0.083, 0.250, 0.213], [0.245, 0.250, 0.952], [0.255, 0.750, 0.452], [0.417, 0.750, 0.713], [0.583, 0.250, 0.287], [0.745, 0.250, 0.548], [0.755, 0.750, 0.048], [0.917, 0.750, 0.787], [0.132, 0.250, 0.633], [0.368, 0.750, 0.133], [0.632, 0.250, 0.867], [0.868, 0.750, 0.367], [0.016, 0.750, 0.603], [0.139, 0.750, 0.074], [0.175, 0.250, 0.766], [0.325, 0.750, 0.266], [0.361, 0.250, 0.574], [0.484, 0.250, 0.103], [0.516, 0.750, 0.897], [0.639, 0.750, 0.426], [0.675, 0.250, 0.734], [0.825, 0.750, 0.234], [0.861, 0.250, 0.926], [0.984, 0.250, 0.397]]
}

[4]
{
  "formula": "Cd2InHg6",
  "functional": "PBE",
  "state": "relaxed",
  "sg": "C2/m",
  "relative_energy_ev_per_fu": 0.00,
  "ef_ev_per_atom": 0.036,
  "lattice": [[5.888, -3.312, 0.000], [5.888, 3.312, 0.000], [-4.737, 0.000, 6.364]],
  "species": ["Cd", "Cd", "In", "Hg", "Hg", "Hg", "Hg", "Hg", "Hg"],
  "fractional_positions": [[0.188, 0.188, 0.281], [0.812, 0.812, 0.719], [0.500, 0.500, 0.500], [0.162, 0.677, 0.131], [0.244, 0.244, 0.697], [0.323, 0.838, 0.869], [0.677, 0.162, 0.131], [0.756, 0.756, 0.303], [0.838, 0.323, 0.869]]
}

[5]
{
  "formula": "Pm4PrSb2",
  "functional": "PBE",
  "state": "relaxed",
  "sg": "I4/mmm",
  "total_energy_ev_per_atom": -4.435,
  "lattice": [[-2.693, 2.693, 8.433], [2.693, -2.693, 8.433], [2.693, 2.693, -8.433]],
  "species": ["Pm", "Pm", "Pm", "Pm", "Pr", "Sb", "Sb"],
  "fractional_positions": [[0.000, 0.500, 0.500], [0.184, 0.184, 0.000], [0.500, 0.000, 0.500], [0.816, 0.816, 0.000], [0.000, 0.000, 0.000], [0.367, 0.367, 0.000], [0.633, 0.633, 0.000]]
}

[6]
{
  "formula": "La2YZn",
  "functional": "PBE",
  "state": "relaxed",
  "sg": "I-42d",
  "relative_energy_ev_per_fu": 1.39,
  "ef_ev_per_atom": 0.187,
  "lattice": [[-2.280, 2.280, 11.672], [2.280, -2.280, 11.672], [2.280, 2.280, -11.672]],
  "species": ["La", "La", "La", "La", "Y", "Y", "Zn", "Zn"],
  "fractional_positions": [[0.092, 0.625, 0.967], [0.375, 0.342, 0.467], [0.658, 0.125, 0.033], [0.875, 0.908, 0.533], [0.250, 0.750, 0.500], [0.500, 0.500, 0.000], [0.000, 0.000, 0.000], [0.750, 0.250, 0.500]]
}

[7]
{
  "formula": "AcZnAg3",
  "functional": "PBE",
  "state": "relaxed",
  "sg": "P6_3/mmc",
  "relative_energy_ev_per_fu": 0.30,
  "ef_ev_per_atom": -0.161,
  "lattice": [[6.850, 0.000, 0.000], [-3.425, 5.932, 0.000], [0.000, 0.000, 5.734]],
  "species": ["Ac", "Ac", "Zn", "Zn", "Ag", "Ag", "Ag", "Ag", "Ag", "Ag"],
  "fractional_positions": [[0.333, 0.667, 0.250], [0.667, 0.333, 0.750], [0.000, 0.000, 0.000], [0.000, 0.000, 0.500], [0.192, 0.385, 0.750], [0.192, 0.808, 0.750], [0.385, 0.192, 0.250], [0.615, 0.808, 0.750], [0.808, 0.192, 0.250], [0.808, 0.615, 0.250]]
}

[8]
{
  "formula": "TiCdS",
  "functional": "PBE",
  "state": "relaxed",
  "sg": "P-3m1",
  "total_energy_ev_per_atom": -4.827,
  "lattice": [[3.301, 0.000, 0.000], [-1.650, 2.858, 0.000], [0.000, 0.000, 25.409]],
  "species": ["Ti", "Ti", "Ti", "Ti", "Cd", "Cd", "Cd", "Cd", "S", "S", "S", "S"],
  "fractional_positions": [[0.333, 0.667, 0.123], [0.333, 0.667, 0.639], [0.667, 0.333, 0.361], [0.667, 0.333, 0.877], [0.333, 0.667, 0.272], [0.333, 0.667, 0.451], [0.667, 0.333, 0.549], [0.667, 0.333, 0.728], [0.333, 0.667, 0.815], [0.333, 0.667, 0.935], [0.667, 0.333, 0.065], [0.667, 0.333, 0.185]]
}

[9]
{
  "formula": "Ac2BiSb3Pt4",
  "functional": "PBE",
  "state": "relaxed",
  "sg": "P-4m2",
  "total_energy_ev_per_atom": -5.718,
  "lattice": [[4.811, 0.000, 0.000], [0.000, 4.811, 0.000], [0.000, 0.000, 10.661]],
  "species": ["Ac", "Ac", "Bi", "Sb", "Sb", "Sb", "Pt", "Pt", "Pt", "Pt"],
  "fractional_positions": [[0.000, 0.500, 0.233], [0.500, 0.000, 0.767], [0.000, 0.000, 0.500], [0.000, 0.500, 0.877], [0.500, 0.000, 0.123], [0.500, 0.500, 0.500], [0.000, 0.000, 0.000], [0.000, 0.500, 0.631], [0.500, 0.000, 0.369], [0.500, 0.500, 0.000]]
}

[10]
{
  "formula": "MgInW2C",
  "functional": "PBE",
  "state": "relaxed",
  "sg": "P4/mmm",
  "ef_ev_per_atom": 2.579,
  "lattice": [[4.867, 0.000, 0.000], [0.000, 4.867, 0.000], [0.000, 0.000, 3.783]],
  "species": ["Mg", "In", "W", "W", "C"],
  "fractional_positions": [[0.000, 0.000, 0.000], [0.500, 0.500, 0.500], [0.000, 0.500, 0.000], [0.500, 0.000, 0.000], [0.000, 0.000, 0.500]]
}

[11]
{
  "formula": "NaMgCd2W",
  "functional": "PBE",
  "state": "relaxed",
  "sg": "P4/mmm",
  "ef_ev_per_atom": 0.938,
  "lattice": [[5.430, 0.000, 0.000], [0.000, 5.430, 0.000], [0.000, 0.000, 5.354]],
  "species": ["Na", "Mg", "Cd", "Cd", "W"],
  "fractional_positions": [[0.000, 0.000, 0.000], [0.500, 0.500, 0.000], [0.000, 0.500, 0.500], [0.500, 0.000, 0.500], [0.500, 0.500, 0.500]]
}

[12]
{
  "formula": "Cd2SnBi2",
  "functional": "PBE",
  "state": "relaxed",
  "sg": "I4/mmm",
  "relative_energy_ev_per_fu": 0.08,
  "ef_ev_per_atom": 0.113,
  "lattice": [[-2.142, 2.142, 8.080], [2.142, -2.142, 8.080], [2.142, 2.142, -8.080]],
  "species": ["Cd", "Cd", "Sn", "Bi", "Bi"],
  "fractional_positions": [[0.250, 0.750, 0.500], [0.750, 0.250, 0.500], [0.000, 0.000, 0.000], [0.396, 0.396, 0.000], [0.604, 0.604, 0.000]]
}

[13]
{
  "formula": "Cs3Pm2DyTe6",
  "functional": "PBE",
  "state": "relaxed",
  "sg": "C2/m",
  "total_energy_ev_per_atom": -4.362,
  "lattice": [[3.999, -6.927, 0.000], [3.999, 6.927, 0.000], [-2.667, 0.000, 8.935]],
  "species": ["Cs", "Cs", "Cs", "Pm", "Pm", "Dy", "Te", "Te", "Te", "Te", "Te", "Te"],
  "fractional_positions": [[0.000, 0.000, 0.000], [0.331, 0.669, 0.000], [0.669, 0.331, 0.000], [0.166, 0.834, 0.500], [0.834, 0.166, 0.500], [0.500, 0.500, 0.500], [0.108, 0.436, 0.308], [0.237, 0.237, 0.693], [0.436, 0.108, 0.308], [0.564, 0.892, 0.692], [0.763, 0.763, 0.307], [0.892, 0.564, 0.692]]
}

[14]
{
  "formula": "Zr2TiBi2",
  "functional": "PBE",
  "state": "relaxed",
  "sg": "I4/mmm",
  "relative_energy_ev_per_fu": 3.21,
  "ef_ev_per_atom": 0.494,
  "lattice": [[-2.135, 2.135, 7.568], [2.135, -2.135, 7.568], [2.135, 2.135, -7.568]],
  "species": ["Zr", "Zr", "Ti", "Bi", "Bi"],
  "fractional_positions": [[0.095, 0.095, 0.000], [0.905, 0.905, 0.000], [0.500, 0.500, 0.000], [0.250, 0.750, 0.500], [0.750, 0.250, 0.500]]
}

[15]
{
  "formula": "AlMo4C",
  "functional": "PBE",
  "state": "relaxed",
  "sg": "C2/c",
  "ef_ev_per_atom": 0.223,
  "lattice": [[3.622, -5.640, 0.000], [3.622, 5.640, 0.000], [-3.119, 0.000, 4.437]],
  "species": ["Al", "Al", "Mo", "Mo", "Mo", "Mo", "Mo", "Mo", "Mo", "Mo", "C", "C"],
  "fractional_positions": [[0.131, 0.869, 0.750], [0.869, 0.131, 0.250], [0.128, 0.549, 0.277], [0.220, 0.315, 0.794], [0.315, 0.220, 0.294], [0.451, 0.872, 0.223], [0.549, 0.128, 0.777], [0.685, 0.780, 0.706], [0.780, 0.685, 0.206], [0.872, 0.451, 0.723], [0.449, 0.551, 0.250], [0.551, 0.449, 0.750]]
}

[16]
{
  "formula": "K6Cl5F",
  "functional": "PBE",
  "state": "relaxed",
  "sg": "C2/m",
  "total_energy_ev_per_atom": -3.536,
  "lattice": [[3.811, -6.605, 0.000], [3.811, 6.605, 0.000], [-2.551, 0.000, 7.211]],
  "species": ["K", "K", "K", "K", "K", "K", "Cl", "Cl", "Cl", "Cl", "Cl", "F"],
  "fractional_positions": [[0.080, 0.392, 0.738], [0.230, 0.230, 0.268], [0.392, 0.080, 0.738], [0.608, 0.920, 0.262], [0.770, 0.770, 0.732], [0.920, 0.608, 0.262], [0.169, 0.831, 0.000], [0.334, 0.666, 0.500], [0.500, 0.500, 0.000], [0.666, 0.334, 0.500], [0.831, 0.169, 0.000], [0.000, 0.000, 0.500]]
}

[17]
{
  "formula": "YEr8Tm3",
  "functional": "PBE",
  "state": "relaxed",
  "sg": "I4/mmm",
  "ef_ev_per_atom": 0.729,
  "lattice": [[-3.798, 3.798, 7.602], [3.798, -3.798, 7.602], [3.798, 3.798, -7.602]],
  "species": ["Y", "Er", "Er", "Er", "Er", "Er", "Er", "Er", "Er", "Tm", "Tm", "Tm"],
  "fractional_positions": [[0.000, 0.000, 0.000], [0.126, 0.126, 0.503], [0.126, 0.623, 0.000], [0.377, 0.377, 0.503], [0.377, 0.874, 0.000], [0.623, 0.126, 0.000], [0.623, 0.623, 0.497], [0.874, 0.377, 0.000], [0.874, 0.874, 0.497], [0.250, 0.750, 0.500], [0.500, 0.500, 0.000], [0.750, 0.250, 0.500]]
}

[18]
{
  "formula": "RbPuICl3",
  "functional": "PBE",
  "state": "relaxed",
  "sg": "Cmcm",
  "total_energy_ev_per_atom": -5.354,
  "lattice": [[3.475, -12.655, 0.000], [3.475, 12.655, 0.000], [0.000, 0.000, 7.484]],
  "species": ["Rb", "Rb", "Pu", "Pu", "I", "I", "Cl", "Cl", "Cl", "Cl", "Cl", "Cl"],
  "fractional_positions": [[0.237, 0.763, 0.750], [0.763, 0.237, 0.250], [0.468, 0.532, 0.250], [0.532, 0.468, 0.750], [0.208, 0.792, 0.250], [0.792, 0.208, 0.750], [0.247, 0.247, 0.000], [0.247, 0.247, 0.500], [0.369, 0.631, 0.250], [0.631, 0.369, 0.750], [0.753, 0.753, 0.000], [0.753, 0.753, 0.500]]
}

[19]
{
  "formula": "Er2CCl",
  "functional": "PBE",
  "state": "relaxed",
  "sg": "R3m",
  "total_energy_ev_per_atom": -6.137,
  "lattice": [[1.798, 1.038, 6.806], [-1.798, 1.038, 6.806], [0.000, -2.076, 6.806]],
  "species": ["Er", "Er", "C", "Cl"],
  "fractional_positions": [[0.000, 0.000, 0.000], [0.209, 0.209, 0.209], [0.607, 0.607, 0.607], [0.437, 0.437, 0.437]]
}

[20]
{
  "formula": "CaLaZn2",
  "functional": "PBE",
  "state": "relaxed",
  "sg": "Pm",
  "relative_energy_ev_per_fu": 0.09,
  "ef_ev_per_atom": -0.287,
  "lattice": [[3.686, 0.000, 0.000], [0.000, 5.299, 0.000], [0.000, 0.000, 5.299]],
  "species": ["Ca", "La", "Zn", "Zn"],
  "fractional_positions": [[0.000, 0.000, 0.000], [0.998, 0.500, 0.499], [0.499, 0.000, 0.501], [0.499, 0.500, 0.998]]
}